{"formula": "Ba2NbAu", "functional": "PBE", "state": "optimized geometry", "de_polymorph_ev_per_atom": 0.000, "e_tot_ev_per_cell": -60.90, "crystal_system": "cubic", "ef_ev_per_atom": 0.49, "cell": [[8.1830, 0.0000, 0.0000], [0.0000, 8.1830, 0.0000], [0.0000, 0.0000, 8.1830]], "species": ["Ba", "Ba", "Ba", "Ba", "Ba", "Ba", "Ba", "Ba", "Nb", "Nb", "Nb", "Nb", "Au", "Au", "Au", "Au"], "frac_coords": [[0.2500, 0.2500, 0.2500], [0.2500, 0.2500, 0.7500], [0.2500, 0.7500, 0.2500], [0.2500, 0.7500, 0.7500], [0.7500, 0.2500, 0.2500], [0.7500, 0.2500, 0.7500], [0.7500, 0.7500, 0.2500], [0.7500, 0.7500, 0.7500], [0.0000, 0.0000, 0.0000], [0.0000, 0.5000, 0.5000], [0.5000, 0.0000, 0.5000], [0.5000, 0.5000, 0.0000], [0.0000, 0.0000, 0.5000], [0.0000, 0.5000, 0.0000], [0.5000, 0.0000, 0.0000], [0.5000, 0.5000, 0.5000]]}